(1)
LaMo2As at its PBEsol-relaxed geometry, computed with SCAN.

a b c (Å): 3.229 3.229 7.291
angles (deg): 90.00 90.00 90.00
Element x y z (fractional)
Mo1 0.000 0.000 0.058
Mo2 0.500 0.500 0.248
La1 0.500 0.500 0.754
As1 0.000 0.000 0.440

Computed properties:
- spin magnetization (Bohr magnetons per cell) = 0.00
- formation energy from the elements (kcal/mol of atoms) = -2.95
- theoretical density (g/cm3) = 8.86


(2)
LaAsN3 at its PBEsol-relaxed geometry, computed with SCAN.

a b c (Å): 3.868 3.868 3.868
angles (deg): 90.00 90.00 90.00
Site moments in Bohr magnetons follow the coordinates.
Element x y z (fractional)
N1 0.000 0.000 0.500  0.23
N2 0.500 0.000 0.000  0.23
N3 0.000 0.500 0.000  0.23
La1 0.500 0.500 0.500  -0.01
As1 0.000 0.000 0.000  -0.03

Computed properties:
- E_form (uncorrected) (eV per atom) = -0.1547
- spin magnetization (Bohr magnetons per cell) = 0.86
- theoretical density (g/cm3) = 7.34


(3)
LaNi2AsN at its PBEsol-relaxed geometry, computed with SCAN.

a b c (Å): 3.673 5.898 6.873
angles (deg): 90.00 90.00 108.14
Element x y z (fractional)
Ni1 0.832 0.664 0.553
Ni2 0.832 0.664 0.947
Ni3 0.168 0.336 0.447
Ni4 0.168 0.336 0.053
N1 0.000 0.000 0.500
N2 0.000 0.000 0.000
As1 0.732 0.464 0.250
As2 0.268 0.536 0.750
La1 0.461 0.922 0.250
La2 0.539 0.078 0.750

Computed properties:
- E_form (uncorrected) (eV per atom) = -0.8587
- spin magnetization (Bohr magnetons per cell) = 0.00
- theoretical density (g/cm3) = 8.10


(4)
NaLaAs3 at its PBEsol-relaxed geometry, computed with SCAN.

a b c (Å): 5.609 5.609 5.609
angles (deg): 90.00 90.00 90.00
Element x y z (fractional)
As1 0.000 0.000 0.500
As2 0.500 0.000 0.000
As3 0.000 0.500 0.000
Na1 0.500 0.500 0.500
La1 0.000 0.000 0.000

Computed properties:
- spin magnetization (Bohr magnetons per cell) = 0.00
- formation energy from the elements (kcal/mol of atoms) = 4.61
- theoretical density (g/cm3) = 3.64


theoretical density of number 2 (LaAsN3)? 7.34 g/cm3